Entry 1:
A plane-wave DFT calculation with PBE-GGA was carried out for a geometry-optimized Ti2TePt2 structure. Values from VASP.

Geometry as Quantum ESPRESSO input:
```
&SYSTEM
  ibrav = 0, nat = 10, ntyp = 3
/
ATOMIC_SPECIES
Pt 195.08 Pt.upf
Ti 47.87 Ti.upf
Te 127.60 Te.upf
ATOMIC_POSITIONS angstrom
Pt 4.800 6.607 1.573
Pt 2.805 0.998 1.573
Ti 6.406 5.002 0.000
Ti 2.603 6.406 0.000
Ti 1.199 2.603 0.000
Ti 5.002 1.199 0.000
Pt 0.998 4.800 1.573
Pt 6.607 2.805 1.573
Te 3.803 3.803 0.000
Te 0.000 0.000 0.000
CELL_PARAMETERS angstrom
7.605 0.000 0.000
0.000 7.605 0.000
0.000 0.000 3.146
```

Summary:
Total moment ... 0.00 μB per formula unit
Formation energy (no corrections) ... -571 meV per atom
Crystal system ... tetragonal
Energy above the most stable polymorph in this dataset ... 23 meV per atom

Entry 2:
A plane-wave DFT calculation with PBE-GGA was carried out for a geometry-optimized TiTe3Pt structure. Values from VASP.

Geometry as Quantum ESPRESSO input:
```
&SYSTEM
  ibrav = 0, nat = 5, ntyp = 3
/
ATOMIC_SPECIES
Te 127.60 Te.upf
Pt 195.08 Pt.upf
Ti 47.87 Ti.upf
ATOMIC_POSITIONS angstrom
Te 1.513 -1.188 -1.794
Te -0.738 1.773 -1.797
Pt 0.000 0.000 0.000
Ti -1.246 -0.952 -4.278
Te -2.021 -1.537 -0.687
CELL_PARAMETERS angstrom
-1.476 3.547 -3.595
3.026 -2.377 -3.588
-4.043 -3.075 -1.373
```

Summary:
Total moment ... 0.02 μB per formula unit
Formation energy (no corrections) ... 531 meV per atom
Crystal system ... cubic
Energy above the most stable polymorph in this dataset ... 55 meV per atom

Entry 3:
A plane-wave DFT calculation with PBE-GGA was carried out for a geometry-optimized Ti3TePt structure. Values from VASP.

Geometry as Quantum ESPRESSO input:
```
&SYSTEM
  ibrav = 0, nat = 5, ntyp = 3
/
ATOMIC_SPECIES
Ti 47.87 Ti.upf
Te 127.60 Te.upf
Pt 195.08 Pt.upf
ATOMIC_POSITIONS angstrom
Ti -1.128 2.097 0.460
Ti -1.954 -1.218 0.761
Ti -0.889 0.017 -2.256
Te -3.970 0.896 -1.035
Pt 0.000 0.000 0.000
CELL_PARAMETERS angstrom
-2.256 4.193 0.921
-1.778 0.034 -4.512
-3.907 -2.436 1.521
```

Summary:
Total moment ... 1.12 μB per formula unit
Formation energy (no corrections) ... 66 meV per atom
Crystal system ... cubic
Energy above the most stable polymorph in this dataset ... 0 meV per atom

Entry 4:
A plane-wave DFT calculation with PBE-GGA was carried out for a geometry-optimized TiTePt structure. Values from VASP.

Geometry as Quantum ESPRESSO input:
```
&SYSTEM
  ibrav = 0, nat = 6, ntyp = 3
/
ATOMIC_SPECIES
Te 127.60 Te.upf
Ti 47.87 Ti.upf
Pt 195.08 Pt.upf
ATOMIC_POSITIONS angstrom
Te -1.700 4.923 6.426
Te 0.095 0.073 3.189
Ti 2.101 1.376 4.859
Pt -1.874 1.924 4.011
Pt 0.268 3.072 5.603
Ti -3.706 3.619 4.755
CELL_PARAMETERS angstrom
-3.488 -1.655 0.711
2.316 -1.209 2.930
-0.433 7.859 5.974
```

Summary:
Total moment ... 0.00 μB per formula unit
Formation energy (no corrections) ... -688 meV per atom
Crystal system ... triclinic

Entry 5:
A plane-wave DFT calculation with PBE-GGA was carried out for a geometry-optimized Ti2TePt2 structure. Values from VASP.

Geometry as Quantum ESPRESSO input:
```
&SYSTEM
  ibrav = 0, nat = 10, ntyp = 3
/
ATOMIC_SPECIES
Ti 47.87 Ti.upf
Te 127.60 Te.upf
Pt 195.08 Pt.upf
ATOMIC_POSITIONS angstrom
Ti -0.021 -5.016 6.807
Ti -3.565 -3.887 4.960
Te 0.000 0.000 0.000
Pt -2.058 -6.116 5.317
Te -0.525 -4.044 3.700
Pt 2.058 -4.889 5.067
Ti -1.502 -1.049 2.737
Ti 2.042 -2.179 4.585
Pt 1.008 -1.973 2.084
Pt -3.108 -3.200 2.334
CELL_PARAMETERS angstrom
-5.937 -4.253 2.704
4.887 -3.836 4.697
-0.473 2.023 2.144
```

Summary:
Total moment ... 0.00 μB per formula unit
Formation energy (no corrections) ... -594 meV per atom
Crystal system ... tetragonal
Energy above the most stable polymorph in this dataset ... 0 meV per atom

Entry 6:
A plane-wave DFT calculation with PBE-GGA was carried out for a geometry-optimized Ti2TePt structure. Values from VASP.

Geometry as Quantum ESPRESSO input:
```
&SYSTEM
  ibrav = 0, nat = 8, ntyp = 3
/
ATOMIC_SPECIES
Te 127.60 Te.upf
Ti 47.87 Ti.upf
Pt 195.08 Pt.upf
ATOMIC_POSITIONS angstrom
Te 3.652 3.652 0.000
Ti 9.131 9.291 2.168
Pt 0.000 0.000 0.000
Ti 5.478 5.319 2.168
Ti 1.666 5.478 0.723
Pt 7.305 3.652 1.445
Ti 5.638 1.826 0.723
Te 3.652 7.305 1.445
CELL_PARAMETERS angstrom
7.305 0.000 0.000
0.000 7.305 0.000
3.652 3.652 2.890
```

Summary:
Total moment ... 0.00 μB per formula unit
Formation energy (no corrections) ... -362 meV per atom
Crystal system ... tetragonal

no.,raw total energy (eV/atom)
1,-6.774
2,-4.141
3,-6.507
4,-6.381
5,-6.797
6,-6.605